Tb3In2Hg8 | PBE | relaxed

abc: 6.0609 6.0609 33.2262
angles: 90.00 90.00 120.00
Space group R-3m (No. 166, hexagonal axes)
One atom of each set of equivalent atoms:
Tb  0.0000  0.0000  0.0000 (multiplicity 3)
Tb  0.0000  0.0000  0.1890 (multiplicity 6)
In  0.0000  0.0000  0.3662 (multiplicity 6)
Hg  0.0000  0.0000  0.2806 (multiplicity 6)
Hg  0.0001  0.5000  0.2241 (multiplicity 18)

Output
volume: 27.103 Å³ per atom
spin magnetization: 0.00 μB/f.u.
energy of formation: -101 meV/atom
calculated density: 10.9 g/cm³